No. 1
TaCo2Pt | Alexandria via LeMat-Bulk | PBE | optimized geometry; distance to the lowest polymorph of the same formula = 0.2770 eV per atom; space-group type = No. 10
1.0
-0.483 -1.279 -2.425
-2.955 -2.966 2.154
-5.245 0.637 0.709
Co Pt Ta
2 1 1
direct
0.000 0.000 0.000
0.500 0.500 0.000
0.500 0.500 0.500
0.000 0.000 0.500



No. 2
TaCo5Pt6 | Alexandria via LeMat-Bulk | PBE | optimized geometry; space-group type = No. 65
1.0
-1.169 2.338 -2.817
-6.994 -2.889 0.504
-1.959 5.177 2.488
Co Pt Ta
5 6 1
direct
0.664 0.500 0.672
0.331 0.000 0.338
0.000 0.500 0.000
0.669 0.000 0.662
0.336 0.500 0.328
0.832 0.746 0.336
0.832 0.254 0.336
0.500 0.254 0.000
0.500 0.746 0.000
0.168 0.746 0.664
0.168 0.254 0.664
0.000 0.000 0.000



No. 3
TaCo2Pt | Alexandria via LeMat-Bulk | PBE | optimized geometry; distance to the lowest polymorph of the same formula = 0.5173 eV per atom; space-group type = No. 166
1.0
-7.450 -1.121 4.570
-5.666 -2.108 6.410
-6.152 0.591 6.280
Co Pt Ta
2 1 1
direct
0.000 0.000 0.000
0.500 0.500 0.500
0.250 0.250 0.250
0.750 0.750 0.750



No. 4
Ta2Co3Pt4 | Alexandria via LeMat-Bulk | PBE | optimized geometry; space-group type = No. 12
1.0
-3.790 -0.838 -0.204
-1.041 -4.556 1.030
-2.387 -0.084 7.688
Ta Co Pt
2 3 4
direct
0.327 0.113 0.233
0.673 0.887 0.767
0.339 0.773 0.549
0.000 0.000 0.000
0.661 0.227 0.451
0.664 0.562 0.111
0.011 0.314 0.664
0.989 0.686 0.336
0.336 0.438 0.889



No. 5
Ta2CoPt2 | Alexandria via LeMat-Bulk | PBE | optimized geometry; distance to the lowest polymorph of the same formula = 0.0000 eV per atom; space-group type = No. 127
1.0
-0.536 -6.530 -2.830
7.102 -0.673 0.207
-0.211 -1.297 3.033
Co Pt Ta
2 4 4
direct
0.000 0.000 0.000
0.500 0.500 0.000
0.368 0.868 0.000
0.868 0.632 0.000
0.632 0.132 0.000
0.132 0.368 0.000
0.174 0.674 0.500
0.674 0.826 0.500
0.826 0.326 0.500
0.326 0.174 0.500



No. 6
TaCo2Pt | Alexandria via LeMat-Bulk | PBE | optimized geometry; distance to the lowest polymorph of the same formula = 0.2939 eV per atom; space-group type = No. 12
1.0
-1.562 -1.252 -4.110
1.129 -1.903 -4.000
-1.127 -4.517 0.845
Co Pt Ta
2 1 1
direct
0.001 0.001 0.004
0.499 0.499 0.496
0.750 0.750 0.750
0.250 0.250 0.250



The following energy of formation values (in meV/atom) correspond, in order, to the records above: -157, -250, 83, -452, -207, -140.